(1)
AcLaPa2O8: relaxed, GGA-PBE.

Properties
The value obtained for the density of states at the Fermi level is 0.0 states/eV/f.u. As for the formation energy from raw total energies: -3.64 eV per atom. As for the calculated total energy: -9.284 eV per atom.

a b c (Å): 5.638 5.638 10.986
angles (deg): 90.00 90.00 90.00
Space group I-4m2 (No. 119)
Inequivalent atoms, fractional coordinates:
Ac1 0.000 0.000 0.000 (multiplicity 2)
La1 0.000 0.500 0.750 (multiplicity 2)
Pa1 0.000 0.000 0.500 (multiplicity 2)
Pa2 0.000 0.500 0.250 (multiplicity 2)
O1 0.223 0.247 0.374 (multiplicity 16)

(2)
Rb2ScV2: relaxed, GGA-PBE.

Properties
The formation energy comes out at 1.032 eV per atom. The value obtained for the density of states at the Fermi level is 8.3 states/eV/f.u. As for the calculated total energy: -4.269 eV per atom.

a b c (Å): 3.366 3.366 28.153
angles (deg): 90.00 90.00 90.00
Space group I4/mmm (No. 139)
Inequivalent atoms, fractional coordinates:
Rb1 0.000 0.000 0.128 (multiplicity 4)
Sc1 0.000 0.000 0.500 (multiplicity 2)
V1 0.000 0.500 0.250 (multiplicity 4)

(3)
YAuF3: relaxed, GGA-PBE.

Properties
The value obtained for the density of states at the Fermi level is 4.5 states/eV/f.u. As for the formation energy from raw total energies: -1.20 eV per atom. As for the calculated total energy: -4.274 eV per atom.

a b c (Å): 4.537 4.537 4.537
angles (deg): 90.00 90.00 90.00
Space group Pm-3m (No. 221)
Inequivalent atoms, fractional coordinates:
Y1 0.000 0.000 0.000 (multiplicity 1)
Au1 0.500 0.500 0.500 (multiplicity 1)
F1 0.000 0.500 0.500 (multiplicity 3)

(4)
YCrIn: relaxed, GGA-PBE.

Properties
The formation energy comes out at 0.101 eV per atom. The value obtained for the density of states at the Fermi level is 3.4 states/eV/f.u. As for the calculated total energy: -6.175 eV per atom.

a b c (Å): 3.424 3.424 11.619
angles (deg): 90.00 90.00 90.00
Space group I4mm (No. 107)
Inequivalent atoms, fractional coordinates:
Y1 0.000 0.000 0.000 (multiplicity 2)
Cr1 0.000 0.000 0.668 (multiplicity 2)
In1 0.000 0.000 0.303 (multiplicity 2)

(5)
Sm2Y7Cd2: relaxed, GGA-PBE.

Properties
The formation energy comes out at 0.020 eV per atom. The value obtained for the density of states at the Fermi level is 15.3 states/eV/f.u. As for the calculated total energy: -5.118 eV per atom.

a b c (Å): 9.170 9.573 8.109
angles (deg): 90.00 104.12 90.00
Space group C2/m (No. 12)
Inequivalent atoms, fractional coordinates:
Sm1 0.000 0.178 0.000 (multiplicity 4)
Y1 0.000 0.000 0.500 (multiplicity 2)
Y2 0.179 0.299 0.674 (multiplicity 8)
Y3 0.193 0.500 0.039 (multiplicity 4)
Cd1 0.104 0.500 0.360 (multiplicity 4)

(6)
Ca2PbI6: relaxed, GGA-PBE.

Properties
The value obtained for the density of states at the Fermi level is 0.0 states/eV/f.u. As for the formation energy from raw total energies: -1.19 eV per atom. As for the calculated total energy: -3.077 eV per atom.

a b c (Å): 15.751 5.026 11.557
angles (deg): 90.00 95.14 90.00
Space group C2/m (No. 12)
Inequivalent atoms, fractional coordinates:
Ca1 0.241 0.000 0.325 (multiplicity 4)
Pb1 0.000 0.500 0.000 (multiplicity 2)
I1 0.086 0.500 0.760 (multiplicity 4)
I2 0.129 0.000 0.089 (multiplicity 4)
I3 0.156 0.500 0.418 (multiplicity 4)